DFT (GGA-PBE) results for crystalline Cu2Ag2Sn at its relaxed geometry.

It has space group P4/mbm (No. 127), with a = 6.960 Å, b = 6.960 Å, c = 3.529 Å, α = 90.00°, β = 90.00° and γ = 90.00°. Symmetry generates all atoms from Cu at (0.131, 0.369, 0.000), Ag at (0.160, 0.660, 0.500) and Sn at (0.000, 0.000, 0.000).

For the calculated volume, the calculation gives 171 Å³/cell. As for the final energy: -3.485 eV per atom.